Record 1
Compound: CaSbPd2Rh
Source: Alexandria via LeMat-Bulk
Functional: PBE
Structure: optimized geometry

```
CaSbPd2Rh
1.0
4.8916 0.0000 0.0000
0.0000 5.6920 0.0000
0.0000 0.0000 4.8916
Sb Ca Rh Pd
1 1 1 2
Direct
0.0000 0.0000 0.0000 Sb
0.0000 0.5000 0.0000 Ca
0.5000 0.5000 0.5000 Rh
0.0000 0.0000 0.5000 Pd
0.5000 0.0000 0.0000 Pd
```

Properties
The value obtained for the electronic total energy is -4.156 eV per atom. The energy relative to the elements, uncorrected is 0.62 eV per atom. The space-group type is No. 123. For the calculated volume, the calculation gives 136 Å³ per cell.

Record 2
Compound: Ca2Sb4PdRh3
Source: Alexandria via LeMat-Bulk
Functional: PBE
Structure: optimized geometry

```
Ca2Sb4PdRh3
1.0
-2.4483 -3.4273 1.7508
-1.6182 -0.9660 -4.1538
8.1207 -6.6293 -1.6218
Ca Sb Pd Rh
2 4 1 3
Direct
0.5000 0.0000 0.2545 Ca
0.0000 0.5000 0.7455 Ca
0.5000 0.5000 0.0000 Sb
0.0000 0.0000 0.0000 Sb
0.5000 0.0000 0.6303 Sb
0.0000 0.5000 0.3697 Sb
0.5000 0.5000 0.5000 Pd
0.0000 0.0000 0.5000 Rh
0.5000 0.0000 0.8742 Rh
0.0000 0.5000 0.1258 Rh
```

Properties
The value obtained for the electronic total energy is -5.453 eV per atom. The energy relative to the elements, uncorrected is -0.68 eV per atom. The space-group type is No. 115. For the calculated volume, the calculation gives 221 Å³ per cell.

Record 3
Compound: CaScPdRh2
Source: Alexandria via LeMat-Bulk
Functional: PBE
Structure: optimized geometry

```
CaScPdRh2
1.0
4.7189 0.0000 0.0000
0.0000 4.8692 0.0000
0.0000 0.0000 4.7189
Sc Ca Rh Pd
1 1 2 1
Direct
0.0000 0.0000 0.0000 Sc
0.5000 0.5000 0.5000 Ca
0.0000 0.0000 0.5000 Rh
0.5000 0.0000 0.0000 Rh
0.0000 0.5000 0.0000 Pd
```

Properties
The value obtained for the electronic total energy is -5.669 eV per atom. As for the energy of formation: -0.024 eV per atom. The space-group type is No. 123. For the calculated volume, the calculation gives 108 Å³ per cell.

Record 4
Compound: CaPdRhSe2
Source: Alexandria via LeMat-Bulk
Functional: PBE
Structure: optimized geometry

```
CaPdRhSe2
1.0
-1.4251 4.8517 -1.6706
-4.6827 -1.2008 0.5074
0.0937 1.7581 5.0260
Ca Rh Se Pd
1 1 2 1
Direct
0.0000 0.0000 0.0000 Ca
0.5000 0.5000 0.5000 Rh
0.0000 0.0000 0.5000 Se
0.5000 0.0000 0.0000 Se
0.0000 0.5000 0.0000 Pd
```

Properties
The value obtained for the electronic total energy is -3.505 eV per atom. The energy relative to the elements, uncorrected is 0.80 eV per atom. The space-group type is No. 123. For the calculated volume, the calculation gives 138 Å³ per cell.

Record 5
Compound: CaPd2RhSe
Source: Alexandria via LeMat-Bulk
Functional: PBE
Structure: optimized geometry

```
CaPd2RhSe
1.0
4.8761 0.0000 0.0000
0.0000 4.8668 0.0000
0.0000 0.0000 4.8761
Ca Rh Se Pd
1 1 1 2
Direct
0.0000 0.0000 0.0000 Ca
0.0000 0.5000 0.0000 Rh
0.5000 0.5000 0.5000 Se
0.0000 0.0000 0.5000 Pd
0.5000 0.0000 0.0000 Pd
```

Properties
The value obtained for the electronic total energy is -3.640 eV per atom. The energy relative to the elements, uncorrected is 1.01 eV per atom. The space-group type is No. 123. For the calculated volume, the calculation gives 116 Å³ per cell.

Record 6
Compound: CaSi2PdRh
Source: Alexandria via LeMat-Bulk
Functional: PBE
Structure: optimized geometry

```
CaSi2PdRh
1.0
4.1206 0.0000 0.0000
0.0000 4.1206 0.0000
-2.0603 -2.0603 5.0506
Ca Si Pd Rh
1 2 1 1
Direct
0.0000 0.0000 0.0000 Ca
0.6208 0.6208 0.2416 Si
0.3792 0.3792 0.7584 Si
0.2500 0.7500 0.5000 Pd
0.7500 0.2500 0.5000 Rh
```

Properties
The value obtained for the electronic total energy is -5.937 eV per atom. The energy relative to the elements, uncorrected is -0.86 eV per atom. The space-group type is No. 119. For the calculated volume, the calculation gives 86 Å³ per cell.

Record 7
Compound: CaSmPdRh
Source: Alexandria via LeMat-Bulk
Functional: PBE
Structure: optimized geometry

```
CaSmPdRh
1.0
-4.3618 -1.8634 -1.4455
-0.5745 -4.9046 -0.4486
-2.8345 -2.4702 3.2328
Ca Rh Pd Sm
1 1 1 1
Direct
0.7500 0.7500 0.7500 Ca
0.5000 0.5000 0.5000 Rh
0.0000 0.0000 0.0000 Pd
0.2500 0.2500 0.2500 Sm
```

Properties
The value obtained for the electronic total energy is -5.467 eV per atom. As for the energy of formation: -0.651 eV per atom. The space-group type is No. 216. For the calculated volume, the calculation gives 86 Å³ per cell.

Record 8
Compound: CaSnPd2Rh
Source: Alexandria via LeMat-Bulk
Functional: PBE
Structure: optimized geometry

```
CaSnPd2Rh
1.0
-0.9537 -4.4462 1.7751
-1.4365 -1.4299 -4.3532
4.5593 -1.3956 -1.0461
Ca Rh Sn Pd
1 1 1 2
Direct
0.0000 0.0000 0.0000 Ca
0.0000 0.5000 0.0000 Rh
0.5000 0.5000 0.5000 Sn
0.0000 0.0000 0.5000 Pd
0.5000 0.0000 0.0000 Pd
```

Properties
The value obtained for the electronic total energy is -4.034 eV per atom. As for the energy of formation: 0.715 eV per atom. The space-group type is No. 123. For the calculated volume, the calculation gives 114 Å³ per cell.

Record 9
Compound: Ca2Sn4PdRh3
Source: Alexandria via LeMat-Bulk
Functional: PBE
Structure: optimized geometry

```
Ca2Sn4PdRh3
1.0
-1.7450 3.0192 2.9504
-4.1115 -0.4916 -1.9287
-2.2231 -7.8783 6.7471
Ca Sn Pd Rh
2 4 1 3
Direct
0.5000 0.0000 0.2566 Ca
0.0000 0.5000 0.7434 Ca
0.5000 0.5000 0.0000 Sn
0.0000 0.0000 0.0000 Sn
0.5000 0.0000 0.6275 Sn
0.0000 0.5000 0.3725 Sn
0.5000 0.5000 0.5000 Pd
0.0000 0.0000 0.5000 Rh
0.5000 0.0000 0.8710 Rh
0.0000 0.5000 0.1290 Rh
```

Properties
The value obtained for the electronic total energy is -5.346 eV per atom. As for the energy of formation: -0.620 eV per atom. The space-group type is No. 115. For the calculated volume, the calculation gives 221 Å³ per cell.

Record 10
Compound: SrCaPdRh
Source: Alexandria via LeMat-Bulk
Functional: PBE
Structure: optimized geometry

```
SrCaPdRh
1.0
5.0512 0.0000 0.0000
2.5256 4.3745 0.0000
2.5256 1.4582 4.1243
Sr Ca Rh Pd
1 1 1 1
Direct
0.7500 0.7500 0.7500 Sr
0.2500 0.2500 0.2500 Ca
0.0000 0.0000 0.0000 Rh
0.5000 0.5000 0.5000 Pd
```

Properties
The value obtained for the electronic total energy is -4.411 eV per atom. As for the energy of formation: -0.354 eV per atom. The space-group type is No. 216. For the calculated volume, the calculation gives 91 Å³ per cell.

Record 11
Compound: CaTbPdRh
Source: Alexandria via LeMat-Bulk
Functional: PBE
Structure: optimized geometry

```
CaTbPdRh
1.0
4.9101 0.0000 0.0000
2.4551 4.2523 0.0000
2.4551 1.4174 4.0091
Rh Ca Tb Pd
1 1 1 1
Direct
0.5000 0.5000 0.5000 Rh
0.7500 0.7500 0.7500 Ca
0.2500 0.2500 0.2500 Tb
0.0000 0.0000 0.0000 Pd
```

Properties
The value obtained for the electronic total energy is -5.488 eV per atom. As for the energy of formation: -0.694 eV per atom. The space-group type is No. 216. For the calculated volume, the calculation gives 84 Å³ per cell.

Record 12
Compound: CaThPdRh
Source: Alexandria via LeMat-Bulk
Functional: PBE
Structure: optimized geometry

```
CaThPdRh
1.0
-4.6110 1.9312 0.2314
-3.6642 -1.9278 -2.8110
-3.6971 -2.6005 2.1479
Ca Rh Pd Th
1 1 1 1
Direct
0.7500 0.7500 0.7500 Ca
0.5000 0.5000 0.5000 Rh
0.0000 0.0000 0.0000 Pd
0.2500 0.2500 0.2500 Th
```

Properties
The value obtained for the electronic total energy is -6.157 eV per atom. As for the energy of formation: -0.665 eV per atom. The space-group type is No. 216. For the calculated volume, the calculation gives 89 Å³ per cell.